Entry 1:
Density functional theory data (PBE) for a relaxed structure of LaPPdN.

Summary:
Density of states at the Fermi level = 1.3 states/eV per cell
V = 17.85 Å³ per atom
Uncorrected formation energy = -0.872 eV/atom
VASP energy = -27.3 eV/cell

a = 3.6776 Å, b = 4.0048 Å, c = 5.1364 Å
α = 109.26°, β = 90.00°, γ = 90.00°
With the nearest neighbours (Å) after each atom.
Element x y z (fractional)
1 La 0.5000 0.5061 0.3947  2 N 2.56
2 P 0.0000 0.8501 0.0493  1 N 1.69
3 Pd 0.0000 0.2606 0.8211  1 N 2.12, 2 P 2.26-2.31
4 N 0.0000 0.9521 0.3960  1 P 1.69

***

Entry 2:
Density functional theory data (PBE) for a relaxed structure of SrCa3Zn2.

Summary:
Energy of formation = -0.145 eV/atom
Density of states at the Fermi level = 5.9 states/eV per cell
V = 31.99 Å³ per atom
VASP energy = -11.1 eV/cell

a = 3.7883 Å, b = 3.7883 Å, c = 13.3764 Å
α = 90.00°, β = 90.00°, γ = 90.00°
With the nearest neighbours (Å) after each atom.
Element x y z (fractional)
1 Sr 0.5000 0.5000 0.5000  4 Sr 3.79, 8 Ca 4.13
2 Ca 0.0000 0.0000 0.0000  8 Zn 3.24, 2 Ca 3.55
3 Ca 0.0000 0.0000 0.7348  4 Zn 3.19, 1 Ca 3.55
4 Ca 0.0000 0.0000 0.2652  4 Zn 3.19, 1 Ca 3.55
5 Zn 0.5000 0.5000 0.8641  8 Ca 3.19-3.24
6 Zn 0.5000 0.5000 0.1359  8 Ca 3.19-3.24

***

Entry 3:
Density functional theory data (PBE) for a relaxed structure of MnTl2CrAs.

Summary:
Energy of formation = 0.877 eV/atom
Density of states at the Fermi level = 3.4 states/eV per cell
V = 29.57 Å³ per atom
VASP energy = -23.8 eV/cell

a = 5.6624 Å, b = 4.6115 Å, c = 5.6624 Å
α = 90.00°, β = 90.00°, γ = 90.00°
With the nearest neighbours (Å) after each atom.
Element x y z (fractional)
1 Cr 0.5000 0.5000 0.5000  8 Tl 3.65, 4 Mn 4.00
2 Tl 0.0000 0.0000 0.5000  2 As 2.83
3 Tl 0.5000 0.0000 0.0000  2 As 2.83
4 Mn 0.0000 0.5000 0.0000  2 As 2.31
5 As 0.0000 0.0000 0.0000  2 Mn 2.31

***

Entry 4:
Density functional theory data (PBE) for a relaxed structure of Zn2WSe.

Summary:
Density of states at the Fermi level = 3.0 states/eV per cell
V = 16.72 Å³ per atom
Uncorrected formation energy = 0.365 eV/atom
VASP energy = -17.5 eV/cell

a = 8.7587 Å, b = 8.7587 Å, c = 8.7587 Å
α = 19.72°, β = 19.72°, γ = 19.72°
With the nearest neighbours (Å) after each atom.
Element x y z (fractional)
1 Se 0.2500 0.2500 0.2500  6 Zn 2.78, 6 Se 3.00
2 W 0.7500 0.7500 0.7500  6 Zn 2.73, 6 W 3.00
3 Zn 0.0013 0.0013 0.0013  3 W 2.73, 3 Se 2.78, 6 Zn 3.00
4 Zn 0.4987 0.4987 0.4987  3 W 2.73, 3 Se 2.78, 6 Zn 3.00